No. 1
DFT (GGA-PBE) results for an optimized crystal structure of Mg2HgAu.

Cell: 7.509 7.509 6.194 Å, 52.69 52.69 90.00°
Sites, in units of the cell vectors:
Mg: 0.606 0.125 0.250
Mg: 0.144 0.625 0.250
Mg: 0.375 0.394 0.750
Mg: 0.875 0.856 0.750
Au: 0.500 0.500 0.000
Au: 0.250 0.750 0.500
Hg: 0.000 0.000 0.000
Hg: 0.750 0.250 0.500

Output
Its energy of formation is -0.172 eV per atom. As for the density of states at the Fermi level: 1.5 states/eV/f.u.

No. 2
DFT (GGA-PBE) results for an optimized crystal structure of MgHg2Au.

Cell: 4.309 4.294 4.497 Å, 90.00 90.00 90.00°
Sites, in units of the cell vectors:
Au: 0.000 0.500 0.500
Hg: 0.000 0.000 0.000
Hg: 0.500 0.500 0.000
Mg: 0.500 0.000 0.500

Output
Its energy of formation is -0.136 eV per atom. As for the density of states at the Fermi level: 1.7 states/eV/f.u.

No. 3
DFT (GGA-PBE) results for an optimized crystal structure of MgHg2Au.

Cell: 5.135 5.135 4.731 Å, 73.63 73.63 45.01°
Sites, in units of the cell vectors:
Au: 0.250 0.250 0.250
Hg: 0.000 0.000 0.000
Hg: 0.500 0.500 0.500
Mg: 0.750 0.750 0.750

Output
Its energy of formation is -0.148 eV per atom. As for the density of states at the Fermi level: 1.3 states/eV/f.u.

No. 4
DFT (GGA-PBE) results for an optimized crystal structure of Mg5HgAu3.

Cell: 5.842 8.307 8.307 Å, 120.00 90.00 90.00°
Sites, in units of the cell vectors:
Mg: 0.000 0.667 0.333
Mg: 0.500 0.333 0.667
Mg: 0.000 0.333 0.667
Mg: 0.500 0.667 0.333
Mg: 0.750 0.692 0.692
Mg: 0.750 0.000 0.308
Mg: 0.750 0.308 0.000
Mg: 0.250 0.308 0.308
Mg: 0.250 0.000 0.692
Mg: 0.250 0.692 0.000
Hg: 0.000 0.000 0.000
Hg: 0.500 0.000 0.000
Au: 0.750 0.368 0.368
Au: 0.750 0.000 0.632
Au: 0.750 0.632 0.000
Au: 0.250 0.632 0.632
Au: 0.250 0.000 0.368
Au: 0.250 0.368 0.000

Output
Its energy of formation is -0.446 eV per atom. As for the density of states at the Fermi level: 3.7 states/eV/f.u.

No. 5
DFT (GGA-PBE) results for an optimized crystal structure of MgHg2Au.

Cell: 8.420 8.420 8.420 Å, 24.50 24.50 24.50°
Sites, in units of the cell vectors:
Au: 0.750 0.750 0.750
Hg: 0.000 0.000 0.000
Hg: 0.500 0.500 0.500
Mg: 0.250 0.250 0.250

Output
Its energy of formation is -0.050 eV per atom. As for the density of states at the Fermi level: 0.9 states/eV/f.u.

No. 6
DFT (GGA-PBE) results for an optimized crystal structure of MgHg2Au.

Cell: 5.037 5.037 4.855 Å, 73.99 73.99 46.83°
Sites, in units of the cell vectors:
Au: 0.237 0.237 0.286
Hg: 0.995 0.995 0.010
Hg: 0.758 0.758 0.738
Mg: 0.510 0.510 0.467

Output
Its energy of formation is -0.150 eV per atom. As for the density of states at the Fermi level: 0.8 states/eV/f.u.

No. 7
DFT (GGA-PBE) results for an optimized crystal structure of MgHg3Au.

Cell: 5.438 5.438 5.438 Å, 90.00 90.00 90.00°
Sites, in units of the cell vectors:
Mg: 0.500 0.500 0.500
Au: 0.000 0.000 0.000
Hg: 0.000 0.500 0.000
Hg: 0.000 0.000 0.500
Hg: 0.500 0.000 0.000

Output
Its energy of formation is 0.183 eV per atom. As for the density of states at the Fermi level: 1.4 states/eV/f.u.

No. 8
DFT (GGA-PBE) results for an optimized crystal structure of MgHg3Au.

Cell: 5.404 5.404 5.404 Å, 90.00 90.00 90.00°
Sites, in units of the cell vectors:
Mg: 0.000 0.000 0.000
Au: 0.500 0.500 0.500
Hg: 0.000 0.500 0.000
Hg: 0.000 0.000 0.500
Hg: 0.500 0.000 0.000

Output
Its energy of formation is 0.330 eV per atom. As for the density of states at the Fermi level: 1.4 states/eV/f.u.

No. 9
DFT (GGA-PBE) results for an optimized crystal structure of NdMgHgAu.

Cell: 5.094 5.094 5.094 Å, 60.00 60.00 60.00°
Sites, in units of the cell vectors:
Nd: 0.750 0.750 0.750
Mg: 0.250 0.250 0.250
Au: 0.000 0.000 0.000
Hg: 0.500 0.500 0.500

Output
Its energy of formation is -0.601 eV per atom. As for the density of states at the Fermi level: 1.7 states/eV/f.u.

No. 10
DFT (GGA-PBE) results for an optimized crystal structure of MgNiHgAu.

Cell: 4.566 4.566 4.566 Å, 60.00 60.00 60.00°
Sites, in units of the cell vectors:
Ni: 0.000 0.000 0.000
Mg: 0.500 0.500 0.500
Au: 0.250 0.250 0.250
Hg: 0.750 0.750 0.750

Output
Its energy of formation is -0.143 eV per atom. As for the density of states at the Fermi level: 2.5 states/eV/f.u.

No. 11
DFT (GGA-PBE) results for an optimized crystal structure of MgNpHgAu.

Cell: 5.048 5.048 5.048 Å, 60.00 60.00 60.00°
Sites, in units of the cell vectors:
Np: 0.750 0.750 0.750
Mg: 0.250 0.250 0.250
Au: 0.500 0.500 0.500
Hg: 0.000 0.000 0.000

Output
Its energy of formation is -0.102 eV per atom. As for the density of states at the Fermi level: 9.5 states/eV/f.u.

No. 12
DFT (GGA-PBE) results for an optimized crystal structure of Mg2HgAuO.

Cell: 5.234 5.104 5.234 Å, 90.00 90.00 90.00°
Sites, in units of the cell vectors:
Mg: 0.000 0.000 0.500
Mg: 0.500 0.000 0.000
Au: 0.000 0.500 0.000
Hg: 0.000 0.000 0.000
O: 0.500 0.500 0.500

Output
As for the density of states at the Fermi level: 5.5 states/eV/f.u. The uncorrected formation energy is 0.64 eV/atom.

No. 13
DFT (GGA-PBE) results for an optimized crystal structure of MgPaHgAu.

Cell: 5.025 5.025 5.025 Å, 60.00 60.00 60.00°
Sites, in units of the cell vectors:
Mg: 0.250 0.250 0.250
Pa: 0.750 0.750 0.750
Au: 0.000 0.000 0.000
Hg: 0.500 0.500 0.500

Output
Its energy of formation is -0.244 eV per atom. As for the density of states at the Fermi level: 4.1 states/eV/f.u.

No. 14
DFT (GGA-PBE) results for an optimized crystal structure of MgHgPbAu.

Cell: 5.087 5.087 5.087 Å, 60.00 60.00 60.00°
Sites, in units of the cell vectors:
Pb: 0.250 0.250 0.250
Mg: 0.750 0.750 0.750
Au: 0.000 0.000 0.000
Hg: 0.500 0.500 0.500

Output
Its energy of formation is -0.104 eV per atom. As for the density of states at the Fermi level: 1.3 states/eV/f.u.

No. 15
DFT (GGA-PBE) results for an optimized crystal structure of Mg2HgPbAu4.

Cell: 4.797 4.797 8.636 Å, 73.88 73.88 60.00°
Sites, in units of the cell vectors:
Mg: 0.755 0.755 0.736
Mg: 0.245 0.245 0.264
Hg: 0.500 0.500 0.500
Pb: 0.000 0.000 0.000
Au: 0.380 0.380 0.860
Au: 0.873 0.873 0.380
Au: 0.127 0.127 0.620
Au: 0.620 0.620 0.140

Output
Its energy of formation is -0.251 eV per atom. As for the density of states at the Fermi level: 1.9 states/eV/f.u.

No. 16
DFT (GGA-PBE) results for an optimized crystal structure of PmMg2HgAu4.

Cell: 4.680 4.680 9.404 Å, 75.59 75.59 60.00°
Sites, in units of the cell vectors:
Pm: 0.000 0.000 0.000
Mg: 0.760 0.760 0.719
Mg: 0.240 0.240 0.281
Hg: 0.500 0.500 0.500
Au: 0.390 0.390 0.830
Au: 0.884 0.884 0.349
Au: 0.116 0.116 0.651
Au: 0.610 0.610 0.170

Output
Its energy of formation is -0.511 eV per atom. As for the density of states at the Fermi level: 4.5 states/eV/f.u.

No. 17
DFT (GGA-PBE) results for an optimized crystal structure of PrMgHgAu.

Cell: 5.121 5.121 5.121 Å, 60.00 60.00 60.00°
Sites, in units of the cell vectors:
Pr: 0.750 0.750 0.750
Mg: 0.250 0.250 0.250
Au: 0.000 0.000 0.000
Hg: 0.500 0.500 0.500

Output
Its energy of formation is -0.593 eV per atom. As for the density of states at the Fermi level: 2.0 states/eV/f.u.

No. 18
DFT (GGA-PBE) results for an optimized crystal structure of Mg2HgPtAu.

Cell: 4.956 5.136 4.956 Å, 90.00 90.00 90.00°
Sites, in units of the cell vectors:
Mg: 0.000 0.000 0.500
Mg: 0.500 0.000 0.000
Au: 0.000 0.000 0.000
Hg: 0.000 0.500 0.000
Pt: 0.500 0.500 0.500

Output
Its energy of formation is 0.322 eV per atom. As for the density of states at the Fermi level: 2.8 states/eV/f.u.

No. 19
DFT (GGA-PBE) results for an optimized crystal structure of PuMg2HgAu4.

Cell: 4.660 4.660 9.443 Å, 75.72 75.72 60.00°
Sites, in units of the cell vectors:
Pu: 0.000 0.000 0.000
Mg: 0.760 0.760 0.720
Mg: 0.240 0.240 0.280
Hg: 0.500 0.500 0.500
Au: 0.390 0.390 0.830
Au: 0.884 0.884 0.349
Au: 0.116 0.116 0.651
Au: 0.610 0.610 0.170

Output
Its energy of formation is -0.361 eV per atom. As for the density of states at the Fermi level: 18.5 states/eV/f.u.

No. 20
DFT (GGA-PBE) results for an optimized crystal structure of PuMgHgAu.

Cell: 5.066 5.066 5.066 Å, 60.00 60.00 60.00°
Sites, in units of the cell vectors:
Mg: 0.500 0.500 0.500
Au: 0.250 0.250 0.250
Hg: 0.750 0.750 0.750
Pu: 0.000 0.000 0.000

Output
Its energy of formation is -0.317 eV per atom. As for the density of states at the Fermi level: 13.6 states/eV/f.u.

Calculated calculated total energy (eV per cell), listed in the same order as above: -14.9 -6.0 -6.1 -44.2 -5.7 -6.1 -4.9 -4.1 -12.3 -11.5 -18.5 -8.5 -15.6 -9.3 -22.3 -25.4 -12.3 -11.2 -33.8 -20.8